No. 1
VASP calculation (GGA-PBE) on a geometry-optimized Na2ZrPt2 structure.

a = 6.825 Å, b = 6.825 Å, c = 4.775 Å
α = 90.00°, β = 90.00°, γ = 90.00°
Element x y z (fractional)
Na 0.165 0.335 0.000
Na 0.335 0.835 0.000
Na 0.665 0.165 0.000
Na 0.835 0.665 0.000
Zr 0.000 0.000 0.500
Zr 0.500 0.500 0.500
Pt 0.134 0.634 0.500
Pt 0.366 0.134 0.500
Pt 0.634 0.866 0.500
Pt 0.866 0.366 0.500

Results
Density, Mg/m³: 7.87
Formation energy, kJ/mol of formula units: -122
Symmetry: P4/mbm, No. 127


No. 2
VASP calculation (GGA-PBE) on a geometry-optimized NaZrPt3 structure.

a = 5.045 Å, b = 5.045 Å, c = 5.045 Å
α = 90.00°, β = 90.00°, γ = 90.00°
Element x y z (fractional)
Na 0.000 0.000 0.000
Zr 0.500 0.500 0.500
Pt 0.000 0.500 0.500
Pt 0.500 0.000 0.500
Pt 0.500 0.500 0.000

Results
Density, Mg/m³: 9.05
Excess energy over the best structure of this formula in the dataset, meV/atom: 0.0
Formation energy, kJ/mol of formula units: 156
Symmetry: Pm-3m, No. 221


No. 3
VASP calculation (GGA-PBE) on a geometry-optimized Na3ZrPt structure.

a = 5.338 Å, b = 5.338 Å, c = 5.338 Å
α = 90.00°, β = 90.00°, γ = 90.00°
Element x y z (fractional)
Na 0.000 0.000 0.500
Na 0.000 0.500 0.000
Na 0.500 0.000 0.000
Zr 0.500 0.500 0.500
Pt 0.000 0.000 0.000

Results
Density, Mg/m³: 3.88
Excess energy over the best structure of this formula in the dataset, meV/atom: 0.0
Formation energy, kJ/mol of formula units: 411
Symmetry: Pm-3m, No. 221


Question: What is the formula in the first record?
Answer: Na2ZrPt2


Question: What is the formation energy in the first record?
Answer: -122 kJ/mol of formula units


Repeat the first record exactly.
VASP calculation (GGA-PBE) on a geometry-optimized Na2ZrPt2 structure.

a = 6.825 Å, b = 6.825 Å, c = 4.775 Å
α = 90.00°, β = 90.00°, γ = 90.00°
Element x y z (fractional)
Na 0.165 0.335 0.000
Na 0.335 0.835 0.000
Na 0.665 0.165 0.000
Na 0.835 0.665 0.000
Zr 0.000 0.000 0.500
Zr 0.500 0.500 0.500
Pt 0.134 0.634 0.500
Pt 0.366 0.134 0.500
Pt 0.634 0.866 0.500
Pt 0.866 0.366 0.500

Results
Density, Mg/m³: 7.87
Formation energy, kJ/mol of formula units: -122
Symmetry: P4/mbm, No. 127